Entry 1:
The following is a DFT calculation (PBE-GGA) of a relaxed structure of CaAlFe2.

a b c (Å): 9.093 9.093 9.093
angles (deg): 18.25 18.25 18.25
Sites, in units of the cell vectors:
Ca  0.000  0.000  0.000
Al  0.500  0.500  0.500
Fe  0.241  0.241  0.241
Fe  0.759  0.759  0.759

Spin magnetization (μB per formula unit): 4.08
ΔH_f (0 K) (meV per atom): 495
Volume (Å³/cell): 64.4

---

Entry 2:
The following is a DFT calculation (PBE-GGA) of a relaxed structure of Ca2AlFe.

a b c (Å): 3.397 3.397 8.408
angles (deg): 90.00 90.00 90.00
Sites, in units of the cell vectors:
Ca  0.000  0.000  0.000
Ca  0.500  0.500  0.388
Al  0.500  0.500  0.738
Fe  0.000  0.000  0.640

Spin magnetization (μB per formula unit): 1.60
ΔH_f (0 K) (meV per atom): 78
Volume (Å³/cell): 97.0

---

Entry 3:
The following is a DFT calculation (PBE-GGA) of a relaxed structure of CaAlFe.

a b c (Å): 5.841 5.841 5.841
angles (deg): 147.09 147.09 47.23
Sites, in units of the cell vectors:
Ca  0.000  0.000  0.000
Al  0.720  0.720  0.000
Fe  0.298  0.298  0.000

Spin magnetization (μB per formula unit): 1.84
ΔH_f (0 K) (meV per atom): 80
Volume (Å³/cell): 58.6

---

Entry 4:
The following is a DFT calculation (PBE-GGA) of a relaxed structure of Ca2AlFe.

a b c (Å): 7.623 7.623 7.623
angles (deg): 95.39 95.39 144.31
Sites, in units of the cell vectors:
Ca  0.375  0.044  0.169
Ca  0.794  0.625  0.669
Ca  0.875  0.206  0.831
Ca  0.956  0.125  0.331
Al  0.250  0.750  0.500
Al  0.500  0.500  0.000
Fe  0.000  0.000  0.000
Fe  0.750  0.250  0.500

Spin magnetization (μB per formula unit): 1.19
ΔH_f (0 K) (meV per atom): 382
Volume (Å³/cell): 245.9

---

Entry 5:
The following is a DFT calculation (PBE-GGA) of a relaxed structure of CaAlFe2.

a b c (Å): 5.604 5.604 5.604
angles (deg): 44.01 44.01 44.01
Sites, in units of the cell vectors:
Ca  0.000  0.000  0.000
Al  0.500  0.500  0.500
Fe  0.188  0.188  0.188
Fe  0.812  0.812  0.812

Spin magnetization (μB per formula unit): 3.62
ΔH_f (0 K) (meV per atom): 47
Volume (Å³/cell): 77.2

---

Entry 6:
The following is a DFT calculation (PBE-GGA) of a relaxed structure of Ca4AlFe8.

a b c (Å): 7.145 7.145 7.145
angles (deg): 118.38 118.38 92.83
Sites, in units of the cell vectors:
Ca  0.000  0.000  0.500
Ca  0.000  0.500  0.000
Ca  0.500  0.000  0.000
Ca  0.500  0.500  0.500
Al  0.000  0.000  0.000
Fe  0.000  0.340  0.340
Fe  0.000  0.660  0.660
Fe  0.278  0.500  0.778
Fe  0.340  0.000  0.340
Fe  0.500  0.278  0.778
Fe  0.500  0.722  0.222
Fe  0.660  0.000  0.660
Fe  0.722  0.500  0.222

Spin magnetization (μB per formula unit): 17.81
ΔH_f (0 K) (meV per atom): 449
Volume (Å³/cell): 263.9

---

Entry 7:
The following is a DFT calculation (PBE-GGA) of a relaxed structure of Ca2AlFe.

a b c (Å): 5.250 5.250 3.524
angles (deg): 90.00 90.00 90.15
Sites, in units of the cell vectors:
Ca  0.000  0.500  0.000
Ca  0.500  0.000  0.000
Al  0.000  0.000  0.500
Fe  0.500  0.500  0.500

Spin magnetization (μB per formula unit): 2.54
ΔH_f (0 K) (meV per atom): 288
Volume (Å³/cell): 97.1

---

Entry 8:
The following is a DFT calculation (PBE-GGA) of a relaxed structure of CaAl12Fe5.

a b c (Å): 7.170 7.170 7.170
angles (deg): 117.98 110.90 100.02
Sites, in units of the cell vectors:
Ca  0.000  0.000  0.000
Al  0.130  0.827  0.303
Al  0.231  0.323  0.555
Al  0.231  0.677  0.908
Al  0.265  0.073  0.808
Al  0.265  0.457  0.192
Al  0.477  0.173  0.303
Al  0.523  0.827  0.697
Al  0.735  0.543  0.808
Al  0.735  0.927  0.192
Al  0.769  0.323  0.092
Al  0.769  0.677  0.445
Al  0.870  0.173  0.697
Fe  0.126  0.626  0.500
Fe  0.500  0.167  0.667
Fe  0.500  0.500  0.000
Fe  0.500  0.833  0.333
Fe  0.874  0.374  0.500

Spin magnetization (μB per formula unit): 6.30
ΔH_f (0 K) (meV per atom): -160
Volume (Å³/cell): 276.9

---

no.,D(E_F) (states/eV per cell),raw total energy (eV for the cell shown)
1,4.455,-20.691
2,4.021,-15.895
3,3.026,-13.966
4,6.783,-29.357
5,3.852,-22.481
6,16.780,-73.618
7,7.043,-15.057
8,10.517,-92.098